Density functional theory data (PBE) for TbSmTm2Hg4 after structural relaxation.

Results
For the energy of formation, the calculation gives -0.47 eV/atom. For the calculated volume, the calculation gives 25.8 Å³ per atom. Its space-group type is R-3m, No. 166. The value obtained for the total energy is -2.91 eV per atom.

Cell lengths 9.1278, 9.1278, 9.1278 Å; angles 33.52, 33.52, 33.52 degrees
Fractional positions:
Tb (0.0000, 0.0000, 0.0000)
Sm (0.5000, 0.5000, 0.5000)
Tm (0.2504, 0.2504, 0.2504)
Tm (0.7496, 0.7496, 0.7496)
Hg (0.1240, 0.1240, 0.1240)
Hg (0.3740, 0.3740, 0.3740)
Hg (0.6260, 0.6260, 0.6260)
Hg (0.8760, 0.8760, 0.8760)